The following is a SCAN calculation of a PBEsol-optimized structure of CdSiCl2, from Alexandria.

It has space group Cm (No. 8), with a = 11.011 Å, b = 3.823 Å, c = 5.233 Å, α = 90.00°, β = 116.84° and γ = 90.00°. Symmetry generates all atoms from Cd at (0.000, 0.000, 0.000), Si at (0.106, 0.500, 0.427), Cl at (0.209, 0.000, 0.782) and Cl at (0.429, 0.000, 0.513).

The calculation puts the polymorph energy (0 for the lowest one) at 0 meV per atom. The calculated density is 3572 kg/m3. The calculation puts the total DFT energy (no corrections) at -57.81 eV/f.u.


The following is a SCAN calculation of a PBEsol-optimized structure of CdSi2Cl, from Alexandria.

It has space group Immm (No. 71), with a = 2.922 Å, b = 4.649 Å, c = 11.271 Å, α = 90.00°, β = 90.00° and γ = 90.00°. Symmetry generates all atoms from Cd at (0.000, 0.000, 0.000), Si at (0.000, 0.500, 0.281) and Cl at (0.000, 0.000, 0.500).

The calculated density is 4426 kg/m3. The calculation puts the total DFT energy (no corrections) at -56.80 eV/f.u.


The following is a SCAN calculation of a PBEsol-optimized structure of SrCdCl, from Alexandria.

It has space group F-43m (No. 216), with a = 7.142 Å, b = 7.142 Å, c = 7.142 Å, α = 90.00°, β = 90.00° and γ = 90.00°. Symmetry generates all atoms from Sr at (0.000, 0.000, 0.000), Cd at (0.000, 0.000, 0.500) and Cl at (0.250, 0.250, 0.250).

The calculation puts the polymorph energy (0 for the lowest one) at 0 meV per atom. The calculated density is 4293 kg/m3. The calculation puts the total DFT energy (no corrections) at -63.48 eV/f.u.


The following is a SCAN calculation of a PBEsol-optimized structure of Sr2CdCl, from Alexandria.

It has space group Amm2 (No. 38), with a = 4.205 Å, b = 4.118 Å, c = 15.695 Å, α = 90.00°, β = 90.00° and γ = 90.00°. Symmetry generates all atoms from Sr at (0.000, 0.000, 0.000), Sr at (0.500, 0.000, 0.258), Cd at (0.500, 0.000, 0.589) and Cl at (0.000, 0.000, 0.814).

The calculation puts the polymorph energy (0 for the lowest one) at 0 meV per atom. The calculated density is 3948 kg/m3. The calculation puts the total DFT energy (no corrections) at -87.20 eV/f.u.


| no. | formation energy without anion corrections (eV per atom) |
| --- | --- |
| 1 | -0.356 |
| 2 | 0.405 |
| 3 | -0.938 |
| 4 | -1.064 |